Material: RbTmO2
Method: DFT, PBE
State: relaxed

energy relative to the elements, uncorrected	-62.63	kcal/mol of atoms
electronic total energy	-26.22	eV per formula unit
size of the total moment	0.0	μB/f.u.

CIF file:
```
data_RbTmO2
_cell_length_a 3.4385
_cell_length_b 3.4385
_cell_length_c 19.8496
_cell_angle_alpha 90.00
_cell_angle_beta 90.00
_cell_angle_gamma 120.00
_symmetry_space_group_name_H-M 'R 3 m'
_symmetry_Int_Tables_number 160
_symmetry_space_group_name_Hall 'R 3 -2"'
loop_
_atom_site_label
_atom_site_type_symbol
_atom_site_fract_x
_atom_site_fract_y
_atom_site_fract_z
Rb1 Rb 0.0000 0.0000 0.0000
Tm1 Tm 0.0000 0.0000 0.1696
O1 O 0.0000 0.0000 0.5613
O2 O 0.0000 0.0000 0.7798
```